{"formula": "Zr3Fe2Si3", "functional": "GGA-PBE", "state": "relaxed", "cell": [[1.8146, -4.8626, 0.0000], [1.8146, 4.8626, 0.0000], [0.0000, 0.0000, 14.3591]], "species": ["Zr", "Zr", "Zr", "Zr", "Zr", "Zr", "Fe", "Fe", "Fe", "Fe", "Si", "Si", "Si", "Si", "Si", "Si"], "fractional_positions": [[0.0061, 0.9939, 0.7500], [0.1400, 0.8600, 0.5426], [0.1400, 0.8600, 0.9574], [0.8600, 0.1400, 0.0426], [0.8600, 0.1400, 0.4574], [0.9939, 0.0061, 0.2500], [0.2565, 0.7435, 0.1547], [0.2565, 0.7435, 0.3453], [0.7435, 0.2565, 0.6547], [0.7435, 0.2565, 0.8453], [0.2808, 0.7192, 0.7500], [0.4185, 0.5815, 0.6068], [0.4185, 0.5815, 0.8932], [0.5815, 0.4185, 0.1068], [0.5815, 0.4185, 0.3932], [0.7192, 0.2808, 0.2500]], "crystal_system": "orthorhombic", "total_energy_ev_per_cell": -124.53, "sg": "Cmcm, No. 63", "e_form_raw_ev_per_atom": -0.4284}

***

{"formula": "SmFe6", "functional": "GGA-PBE", "state": "relaxed", "cell": [[7.9636, 0.0000, 0.0000], [0.0000, 4.8935, 0.0000], [0.0000, 0.0000, 10.1545]], "species": ["Sm", "Sm", "Sm", "Sm", "Fe", "Fe", "Fe", "Fe", "Fe", "Fe", "Fe", "Fe", "Fe", "Fe", "Fe", "Fe", "Fe", "Fe", "Fe", "Fe", "Fe", "Fe", "Fe", "Fe", "Fe", "Fe", "Fe", "Fe"], "fractional_positions": [[0.2405, 0.2500, 0.0624], [0.2595, 0.7500, 0.5624], [0.7405, 0.2500, 0.4376], [0.7595, 0.7500, 0.9376], [0.0508, 0.7500, 0.0972], [0.0637, 0.0064, 0.3081], [0.0637, 0.4936, 0.3081], [0.0949, 0.2500, 0.5154], [0.1477, 0.7500, 0.8585], [0.1903, 0.2500, 0.7515], [0.3097, 0.7500, 0.2515], [0.3523, 0.2500, 0.3585], [0.4051, 0.7500, 0.0154], [0.4363, 0.5064, 0.8081], [0.4363, 0.9936, 0.8081], [0.4492, 0.2500, 0.5972], [0.5508, 0.7500, 0.4028], [0.5637, 0.0064, 0.1919], [0.5637, 0.4936, 0.1919], [0.5949, 0.2500, 0.9846], [0.6477, 0.7500, 0.6415], [0.6903, 0.2500, 0.7485], [0.8097, 0.7500, 0.2485], [0.8523, 0.2500, 0.1415], [0.9051, 0.7500, 0.4846], [0.9363, 0.5064, 0.6919], [0.9363, 0.9936, 0.6919], [0.9492, 0.2500, 0.9028]], "delta_e_f_mev_per_atom": 87, "crystal_system": "orthorhombic", "total_energy_ev_per_cell": -219.55, "sg": "Pnma, No. 62"}

***

{"formula": "Sm2Fe17", "functional": "GGA-PBE", "state": "relaxed", "cell": [[4.2625, 2.4610, 4.1508], [-4.2625, 2.4610, 4.1508], [0.0000, -4.9219, 4.1508]], "species": ["Sm", "Sm", "Fe", "Fe", "Fe", "Fe", "Fe", "Fe", "Fe", "Fe", "Fe", "Fe", "Fe", "Fe", "Fe", "Fe", "Fe", "Fe", "Fe"], "fractional_positions": [[0.1595, 0.1595, 0.1595], [0.8405, 0.8405, 0.8405], [0.0000, 0.5000, 0.5000], [0.1574, 0.1574, 0.6554], [0.1574, 0.6554, 0.1574], [0.2082, 0.5000, 0.7918], [0.2082, 0.7918, 0.5000], [0.3446, 0.8426, 0.8426], [0.4036, 0.4036, 0.4036], [0.5000, 0.0000, 0.5000], [0.5000, 0.2082, 0.7918], [0.5000, 0.5000, 0.0000], [0.5000, 0.7918, 0.2082], [0.5964, 0.5964, 0.5964], [0.6554, 0.1574, 0.1574], [0.7918, 0.2082, 0.5000], [0.7918, 0.5000, 0.2082], [0.8426, 0.3446, 0.8426], [0.8426, 0.8426, 0.3446]], "delta_e_f_mev_per_atom": 19, "crystal_system": "trigonal", "total_energy_ev_per_cell": -152.94, "sg": "R-3m, No. 166"}

***

{"formula": "Sm3Fe", "functional": "GGA-PBE", "state": "relaxed", "cell": [[3.6062, 0.0000, 0.0000], [0.0000, 10.7354, 0.0000], [0.0000, 0.0000, 5.5732]], "species": ["Sm", "Sm", "Sm", "Sm", "Sm", "Sm", "Fe", "Fe"], "fractional_positions": [[0.0000, 0.0000, 0.0000], [0.0000, 0.1916, 0.4971], [0.0000, 0.8084, 0.4971], [0.5000, 0.3084, 0.9971], [0.5000, 0.5000, 0.5000], [0.5000, 0.6916, 0.9971], [0.0000, 0.5000, 0.9405], [0.5000, 0.0000, 0.4405]], "delta_e_f_mev_per_atom": 159, "crystal_system": "orthorhombic", "total_energy_ev_per_cell": -43.97, "sg": "Imm2, No. 44"}

***

{"formula": "SmFe11", "functional": "GGA-PBE", "state": "relaxed", "cell": [[-5.0293, 5.0293, 3.2164], [5.0293, -5.0293, 3.2164], [5.0293, 5.0293, -3.2164]], "species": ["Sm", "Sm", "Fe", "Fe", "Fe", "Fe", "Fe", "Fe", "Fe", "Fe", "Fe", "Fe", "Fe", "Fe", "Fe", "Fe", "Fe", "Fe", "Fe", "Fe", "Fe", "Fe", "Fe", "Fe"], "fractional_positions": [[0.3750, 0.6250, 0.7500], [0.6250, 0.3750, 0.2500], [0.0000, 0.0000, 0.0000], [0.0000, 0.0000, 0.5000], [0.0000, 0.5000, 0.0000], [0.1250, 0.8750, 0.2500], [0.1382, 0.5600, 0.3297], [0.1382, 0.8085, 0.5782], [0.1915, 0.2697, 0.3297], [0.1915, 0.8618, 0.9218], [0.2697, 0.1915, 0.8297], [0.2697, 0.4400, 0.0782], [0.4400, 0.2697, 0.5782], [0.4400, 0.8618, 0.1703], [0.5000, 0.0000, 0.5000], [0.5600, 0.1382, 0.8297], [0.5600, 0.7303, 0.4218], [0.7303, 0.5600, 0.9218], [0.7303, 0.8085, 0.1703], [0.8085, 0.1382, 0.0782], [0.8085, 0.7303, 0.6703], [0.8618, 0.1915, 0.4218], [0.8618, 0.4400, 0.6703], [0.8750, 0.1250, 0.7500]], "delta_e_f_mev_per_atom": 44, "crystal_system": "tetragonal", "total_energy_ev_per_cell": -194.56, "sg": "I4_1/amd, No. 141"}

***

{"formula": "SmFe3", "functional": "GGA-PBE", "state": "relaxed", "cell": [[2.5803, 1.4897, 8.2092], [-2.5803, 1.4897, 8.2092], [0.0000, -2.9794, 8.2092]], "species": ["Sm", "Sm", "Sm", "Fe", "Fe", "Fe", "Fe", "Fe", "Fe", "Fe", "Fe", "Fe"], "fractional_positions": [[0.0000, 0.0000, 0.0000], [0.1418, 0.1418, 0.1418], [0.8582, 0.8582, 0.8582], [0.0835, 0.5790, 0.5790], [0.3327, 0.3327, 0.3327], [0.4210, 0.4210, 0.9165], [0.4210, 0.9165, 0.4210], [0.5000, 0.5000, 0.5000], [0.5790, 0.0835, 0.5790], [0.5790, 0.5790, 0.0835], [0.6673, 0.6673, 0.6673], [0.9165, 0.4210, 0.4210]], "delta_e_f_mev_per_atom": 4, "crystal_system": "trigonal", "total_energy_ev_per_cell": -90.27, "sg": "R-3m, No. 166"}

***

{"formula": "SmFe3", "functional": "GGA-PBE", "state": "relaxed", "cell": [[5.1567, 0.0000, 0.0000], [-2.5784, 4.4659, 0.0000], [0.0000, 0.0000, 16.4243]], "species": ["Sm", "Sm", "Sm", "Sm", "Sm", "Sm", "Fe", "Fe", "Fe", "Fe", "Fe", "Fe", "Fe", "Fe", "Fe", "Fe", "Fe", "Fe", "Fe", "Fe", "Fe", "Fe", "Fe", "Fe"], "fractional_positions": [[0.3333, 0.6667, 0.0374], [0.3333, 0.6667, 0.2500], [0.3333, 0.6667, 0.4626], [0.6667, 0.3333, 0.5374], [0.6667, 0.3333, 0.7500], [0.6667, 0.3333, 0.9626], [0.0000, 0.0000, 0.0000], [0.0000, 0.0000, 0.2500], [0.0000, 0.0000, 0.5000], [0.0000, 0.0000, 0.7500], [0.1656, 0.3311, 0.6292], [0.1656, 0.3311, 0.8708], [0.1656, 0.8344, 0.6292], [0.1656, 0.8344, 0.8708], [0.3311, 0.1656, 0.1292], [0.3311, 0.1656, 0.3708], [0.3333, 0.6667, 0.7500], [0.6667, 0.3333, 0.2500], [0.6689, 0.8344, 0.6292], [0.6689, 0.8344, 0.8708], [0.8344, 0.1656, 0.1292], [0.8344, 0.1656, 0.3708], [0.8344, 0.6689, 0.1292], [0.8344, 0.6689, 0.3708]], "delta_e_f_mev_per_atom": 6, "crystal_system": "hexagonal", "total_energy_ev_per_cell": -180.49, "sg": "P6_3/mmc, No. 194"}

***

{"formula": "SmFe6", "functional": "GGA-PBE", "state": "relaxed", "cell": [[6.0298, 0.0000, 0.0000], [0.0000, 6.0298, 0.0000], [0.0000, 0.0000, 6.0298]], "species": ["Sm", "Sm", "Fe", "Fe", "Fe", "Fe", "Fe", "Fe", "Fe", "Fe", "Fe", "Fe", "Fe", "Fe"], "fractional_positions": [[0.0000, 0.0000, 0.0000], [0.5000, 0.5000, 0.5000], [0.0000, 0.2500, 0.5000], [0.0000, 0.5000, 0.2500], [0.0000, 0.5000, 0.7500], [0.0000, 0.7500, 0.5000], [0.2500, 0.0000, 0.5000], [0.2500, 0.5000, 0.0000], [0.5000, 0.0000, 0.2500], [0.5000, 0.0000, 0.7500], [0.5000, 0.2500, 0.0000], [0.5000, 0.7500, 0.0000], [0.7500, 0.0000, 0.5000], [0.7500, 0.5000, 0.0000]], "delta_e_f_mev_per_atom": 565, "crystal_system": "cubic", "total_energy_ev_per_cell": -103.07, "sg": "Im-3m, No. 229"}